1.
A plane-wave DFT calculation with GGA-PBE was carried out for crystalline Pm8CoIr2 at its relaxed geometry.

The structure in CIF format:
```
data_Pm8CoIr2
_chemical_formula_sum 'Pm16 Co2 Ir4'
_space_group_name_H-M_alt 'C 1 2/m 1'
_space_group_IT_number 12
_space_group_name_Hall '-C 2y'
_cell_length_a 17.745
_cell_length_b 4.927
_cell_length_c 6.991
_cell_angle_alpha 90.00
_cell_angle_beta 104.27
_cell_angle_gamma 90.00
loop_
_atom_site_label
_atom_site_type_symbol
_atom_site_fract_x
_atom_site_fract_y
_atom_site_fract_z
_atom_site_occupancy
Pm1 Pm 0.029 0.000 0.290 1
Pm2 Pm 0.093 0.500 0.956 1
Pm3 Pm 0.165 0.500 0.469 1
Pm4 Pm 0.206 0.000 0.817 1
Co1 Co 0.000 0.500 0.500 1
Ir1 Ir 0.189 0.000 0.214 1
```

Summary:
Total energy, Ha/atom: -0.2202
Crystal system: monoclinic
Calculated volume, Å³/cell: 592
Density, g/cm³: 8.99
Distance to the lowest polymorph of the same formula, kcal/mol of atoms: 0.299
Energy of formation from the pure elements, eV/atom: -0.28

2.
A plane-wave DFT calculation with GGA-PBE was carried out for crystalline Ho2TiAl at its relaxed geometry.

The structure in CIF format:
```
data_Ho2TiAl
_chemical_formula_sum 'Ho2 Ti1 Al1'
_space_group_name_H-M_alt 'P 4/m m m'
_space_group_IT_number 123
_space_group_name_Hall '-P 4 2'
_cell_length_a 3.379
_cell_length_b 3.379
_cell_length_c 8.256
_cell_angle_alpha 90.00
_cell_angle_beta 90.00
_cell_angle_gamma 90.00
loop_
_atom_site_label
_atom_site_type_symbol
_atom_site_fract_x
_atom_site_fract_y
_atom_site_fract_z
_atom_site_occupancy
Ho1 Ho 0.000 0.000 0.244 1
Ti1 Ti 0.500 0.500 0.500 1
Al1 Al 0.500 0.500 0.000 1
```

Summary:
Total energy, Ha/atom: -0.1936
Crystal system: tetragonal
Calculated volume, Å³/cell: 94
Density, g/cm³: 7.13
Distance to the lowest polymorph of the same formula, kcal/mol of atoms: 0.236
Energy of formation from the pure elements, eV/atom: -0.07

3.
A plane-wave DFT calculation with GGA-PBE was carried out for crystalline PtSNCl2 at its relaxed geometry.

The structure in CIF format:
```
data_PtSNCl2
_chemical_formula_sum 'Pt1 S1 N1 Cl2'
_space_group_name_H-M_alt 'P 4/m m m'
_space_group_IT_number 123
_space_group_name_Hall '-P 4 2'
_cell_length_a 4.868
_cell_length_b 4.868
_cell_length_c 4.555
_cell_angle_alpha 90.00
_cell_angle_beta 90.00
_cell_angle_gamma 90.00
loop_
_atom_site_label
_atom_site_type_symbol
_atom_site_fract_x
_atom_site_fract_y
_atom_site_fract_z
_atom_site_occupancy
Pt1 Pt 0.000 0.000 0.000 1
S1 S 0.000 0.000 0.500 1
N1 N 0.500 0.500 0.500 1
Cl1 Cl 0.000 0.500 0.000 1
```

Summary:
ΔE_f (raw), meV/atom: 1536
Total energy, Ha/atom: -0.1066
Crystal system: tetragonal
Calculated volume, Å³/cell: 108
Density, g/cm³: 4.80
Distance to the lowest polymorph of the same formula, kcal/mol of atoms: 2.198

4.
A plane-wave DFT calculation with GGA-PBE was carried out for crystalline InWBr2 at its relaxed geometry.

The structure in CIF format:
```
data_InWBr2
_chemical_formula_sum 'In1 W1 Br2'
_space_group_name_H-M_alt 'P 1 2/m 1'
_space_group_IT_number 10
_space_group_name_Hall '-P 2y'
_cell_length_a 4.967
_cell_length_b 3.192
_cell_length_c 5.624
_cell_angle_alpha 90.00
_cell_angle_beta 105.87
_cell_angle_gamma 90.00
loop_
_atom_site_label
_atom_site_type_symbol
_atom_site_fract_x
_atom_site_fract_y
_atom_site_fract_z
_atom_site_occupancy
In1 In 0.000 0.000 0.000 1
W1 W 0.000 0.500 0.500 1
Br1 Br 0.500 0.000 0.500 1
Br2 Br 0.500 0.500 0.000 1
```

Summary:
ΔE_f (raw), meV/atom: 834
Total energy, Ha/atom: -0.1442
Crystal system: monoclinic
Calculated volume, Å³/cell: 86
Density, g/cm³: 8.88
Distance to the lowest polymorph of the same formula, kcal/mol of atoms: 16.430

5.
A plane-wave DFT calculation with GGA-PBE was carried out for crystalline SrLi2TlF8 at its relaxed geometry.

The structure in CIF format:
```
data_SrLi2TlF8
_chemical_formula_sum 'Sr1 Li2 Tl1 F8'
_space_group_name_H-M_alt 'P -1'
_space_group_IT_number 2
_space_group_name_Hall '-P 1'
_cell_length_a 4.657
_cell_length_b 4.826
_cell_length_c 7.619
_cell_angle_alpha 91.12
_cell_angle_beta 90.93
_cell_angle_gamma 93.34
loop_
_atom_site_label
_atom_site_type_symbol
_atom_site_fract_x
_atom_site_fract_y
_atom_site_fract_z
_atom_site_occupancy
Sr1 Sr 0.000 0.000 0.000 1
Li1 Li 0.490 0.515 0.694 1
Tl1 Tl 0.000 0.000 0.500 1
F1 F 0.170 0.235 0.272 1
F2 F 0.192 0.228 0.737 1
F3 F 0.337 0.713 0.496 1
F4 F 0.425 0.681 0.962 1
```

Summary:
ΔE_f (raw), meV/atom: -2520
Total energy, Ha/atom: -0.1626
Crystal system: triclinic
Calculated volume, Å³/cell: 171
Density, g/cm³: 4.45

6.
A plane-wave DFT calculation with GGA-PBE was carried out for crystalline PrTl2PbSe4 at its relaxed geometry.

The structure in CIF format:
```
data_PrTl2PbSe4
_chemical_formula_sum 'Pr1 Tl2 Pb1 Se4'
_space_group_name_H-M_alt 'P 1 2/m 1'
_space_group_IT_number 10
_space_group_name_Hall '-P 2y'
_cell_length_a 7.668
_cell_length_b 4.349
_cell_length_c 7.828
_cell_angle_alpha 90.00
_cell_angle_beta 109.57
_cell_angle_gamma 90.00
loop_
_atom_site_label
_atom_site_type_symbol
_atom_site_fract_x
_atom_site_fract_y
_atom_site_fract_z
_atom_site_occupancy
Pr1 Pr 0.000 0.000 0.000 1
Tl1 Tl 0.000 0.500 0.500 1
Tl2 Tl 0.500 0.000 0.500 1
Pb1 Pb 0.500 0.500 0.000 1
Se1 Se 0.234 0.500 0.223 1
Se2 Se 0.244 0.000 0.768 1
```

Summary:
ΔE_f (raw), meV/atom: -862
Total energy, Ha/atom: -0.1564
Crystal system: monoclinic
Calculated volume, Å³/cell: 246
Density, g/cm³: 7.24

7.
A plane-wave DFT calculation with GGA-PBE was carried out for crystalline TiInOs3 at its relaxed geometry.

The structure in CIF format:
```
data_TiInOs3
_chemical_formula_sum 'Ti1 In1 Os3'
_space_group_name_H-M_alt 'P m -3 m'
_space_group_IT_number 221
_space_group_name_Hall '-P 4 2 3'
_cell_length_a 4.580
_cell_length_b 4.580
_cell_length_c 4.580
_cell_angle_alpha 90.00
_cell_angle_beta 90.00
_cell_angle_gamma 90.00
loop_
_atom_site_label
_atom_site_type_symbol
_atom_site_fract_x
_atom_site_fract_y
_atom_site_fract_z
_atom_site_occupancy
Ti1 Ti 0.000 0.000 0.000 1
In1 In 0.500 0.500 0.500 1
Os1 Os 0.000 0.000 0.500 1
```

Summary:
Total energy, Ha/atom: -0.2674
Crystal system: cubic
Calculated volume, Å³/cell: 96
Density, g/cm³: 12.68
Distance to the lowest polymorph of the same formula, kcal/mol of atoms: 0.000
Energy of formation from the pure elements, eV/atom: 1.59

8.
A plane-wave DFT calculation with GGA-PBE was carried out for crystalline Tc2NiCl at its relaxed geometry.

The structure in CIF format:
```
data_Tc2NiCl
_chemical_formula_sum 'Tc4 Ni2 Cl2'
_space_group_name_H-M_alt 'C 1 2/m 1'
_space_group_IT_number 12
_space_group_name_Hall '-C 2y'
_cell_length_a 8.354
_cell_length_b 2.809
_cell_length_c 7.345
_cell_angle_alpha 90.00
_cell_angle_beta 121.58
_cell_angle_gamma 90.00
loop_
_atom_site_label
_atom_site_type_symbol
_atom_site_fract_x
_atom_site_fract_y
_atom_site_fract_z
_atom_site_occupancy
Tc1 Tc 0.213 0.000 0.341 1
Ni1 Ni 0.000 0.000 0.500 1
Cl1 Cl 0.000 0.500 0.000 1
```

Summary:
ΔE_f (raw), meV/atom: 484
Total energy, Ha/atom: -0.2428
Crystal system: monoclinic
Calculated volume, Å³/cell: 147
Density, g/cm³: 6.56
Distance to the lowest polymorph of the same formula, kcal/mol of atoms: 5.530

9.
A plane-wave DFT calculation with GGA-PBE was carried out for crystalline La2Sb3Rh4Pb at its relaxed geometry.

The structure in CIF format:
```
data_La2Sb3Rh4Pb
_chemical_formula_sum 'La2 Sb3 Rh4 Pb1'
_space_group_name_H-M_alt 'P -4 m 2'
_space_group_IT_number 115
_space_group_name_Hall 'P -4 -2'
_cell_length_a 4.559
_cell_length_b 4.559
_cell_length_c 10.797
_cell_angle_alpha 90.00
_cell_angle_beta 90.00
_cell_angle_gamma 90.00
loop_
_atom_site_label
_atom_site_type_symbol
_atom_site_fract_x
_atom_site_fract_y
_atom_site_fract_z
_atom_site_occupancy
La1 La 0.000 0.500 0.245 1
Sb1 Sb 0.000 0.500 0.873 1
Sb2 Sb 0.500 0.500 0.500 1
Rh1 Rh 0.000 0.000 0.000 1
Rh2 Rh 0.000 0.500 0.636 1
Rh3 Rh 0.500 0.500 0.000 1
Pb1 Pb 0.000 0.000 0.500 1
```

Summary:
ΔE_f (raw), meV/atom: -760
Total energy, Ha/atom: -0.2313
Crystal system: tetragonal
Calculated volume, Å³/cell: 224
Density, g/cm³: 9.34

10.
A plane-wave DFT calculation with GGA-PBE was carried out for crystalline TaCdP at its relaxed geometry.

The structure in CIF format:
```
data_TaCdP
_chemical_formula_sum 'Ta2 Cd2 P2'
_space_group_name_H-M_alt 'P m n 21'
_space_group_IT_number 31
_space_group_name_Hall 'P 2ac -2'
_cell_length_a 3.462
_cell_length_b 6.854
_cell_length_c 4.817
_cell_angle_alpha 90.00
_cell_angle_beta 90.00
_cell_angle_gamma 90.00
loop_
_atom_site_label
_atom_site_type_symbol
_atom_site_fract_x
_atom_site_fract_y
_atom_site_fract_z
_atom_site_occupancy
Ta1 Ta 0.000 0.097 0.000 1
Cd1 Cd 0.000 0.551 0.356 1
P1 P 0.000 0.164 0.498 1
```

Summary:
Total energy, Ha/atom: -0.2334
Crystal system: orthorhombic
Calculated volume, Å³/cell: 114
Density, g/cm³: 9.42
Distance to the lowest polymorph of the same formula, kcal/mol of atoms: 1.752
Energy of formation from the pure elements, eV/atom: -0.29

11.
A plane-wave DFT calculation with GGA-PBE was carried out for crystalline Sr4Tb3AgTe8 at its relaxed geometry.

The structure in CIF format:
```
data_Sr4Tb3AgTe8
_chemical_formula_sum 'Sr8 Tb6 Ag2 Te16'
_space_group_name_H-M_alt 'C 1 2/m 1'
_space_group_IT_number 12
_space_group_name_Hall '-C 2y'
_cell_length_a 15.742
_cell_length_b 9.088
_cell_length_c 9.117
_cell_angle_alpha 90.00
_cell_angle_beta 125.15
_cell_angle_gamma 90.00
loop_
_atom_site_label
_atom_site_type_symbol
_atom_site_fract_x
_atom_site_fract_y
_atom_site_fract_z
_atom_site_occupancy
Sr1 Sr 0.000 0.000 0.000 1
Sr2 Sr 0.000 0.500 0.000 1
Sr3 Sr 0.250 0.250 0.000 1
Tb1 Tb 0.000 0.000 0.500 1
Tb2 Tb 0.250 0.250 0.500 1
Ag1 Ag 0.000 0.500 0.500 1
Te1 Te 0.008 0.250 0.273 1
Te2 Te 0.243 0.500 0.730 1
Te3 Te 0.244 0.000 0.732 1
```

Summary:
ΔE_f (raw), meV/atom: -1393
Total energy, Ha/atom: -0.1628
Crystal system: monoclinic
Calculated volume, Å³/cell: 1067
Density, g/cm³: 6.09

12.
A plane-wave DFT calculation with GGA-PBE was carried out for crystalline Sb5W at its relaxed geometry.

The structure in CIF format:
```
data_Sb5W
_chemical_formula_sum 'Sb5 W1'
_space_group_name_H-M_alt 'P -6 2 m'
_space_group_IT_number 189
_space_group_name_Hall 'P -6 -2'
_cell_length_a 5.5878
_cell_length_b 5.5878
_cell_length_c 5.3304
_cell_angle_alpha 90.00
_cell_angle_beta 90.00
_cell_angle_gamma 120.00
loop_
_atom_site_label
_atom_site_type_symbol
_atom_site_fract_x
_atom_site_fract_y
_atom_site_fract_z
_atom_site_occupancy
Sb1 Sb 0.0000 0.6932 0.0000 1
Sb2 Sb 0.3333 0.6667 0.5000 1
W1 W 0.0000 0.0000 0.5000 1
```

Summary:
ΔE_f (raw), meV/atom: 592
Total energy, Ha/atom: -0.1838
Crystal system: hexagonal
Calculated volume, Å³/cell: 144
Density, g/cm³: 9.13
Distance to the lowest polymorph of the same formula, kcal/mol of atoms: 8.359